[1]
This record from Alexandria describes a relaxed ZrCdSb2 crystal. The functional is PBE.

Cell: 3.298 3.298 34.853 Å, 90.00 90.00 120.00°
Positions (direct):
Zr (0.000, 0.000, 0.000)
Zr (0.333, 0.667, 0.667)
Zr (0.667, 0.333, 0.333)
Cd (0.000, 0.000, 0.500)
Cd (0.333, 0.667, 0.167)
Cd (0.667, 0.333, 0.833)
Sb (0.000, 0.000, 0.265)
Sb (0.000, 0.000, 0.735)
Sb (0.333, 0.667, 0.402)
Sb (0.333, 0.667, 0.931)
Sb (0.667, 0.333, 0.069)
Sb (0.667, 0.333, 0.598)

## Properties
Uncorrected energy, eV per formula unit: -18.3
Formation energy from raw total energies, eV per atom: -0.1420
Space-group type: R-3m (166)

[2]
This record from Alexandria describes a relaxed ZrCd2Sb crystal. The functional is PBE.

Cell: 3.999 3.999 5.845 Å, 90.00 90.00 90.00°
Positions (direct):
Zr (0.000, 0.000, 0.000)
Cd (0.500, 0.500, 0.244)
Cd (0.500, 0.500, 0.756)
Sb (0.000, 0.000, 0.500)

## Properties
Uncorrected energy, eV per formula unit: -14.6
Formation energy from raw total energies, eV per atom: -0.0357
Space-group type: P4/mmm (123)

[3]
This record from Alexandria describes a relaxed ZrCdSb2 crystal. The functional is PBE.

Cell: 4.075 4.834 10.640 Å, 90.00 90.00 90.00°
Positions (direct):
Zr (0.000, 0.000, 0.000)
Zr (0.500, 0.500, 0.000)
Cd (0.000, 0.500, 0.782)
Cd (0.500, 0.000, 0.782)
Sb (0.000, 0.000, 0.562)
Sb (0.000, 0.500, 0.212)
Sb (0.500, 0.000, 0.212)
Sb (0.500, 0.500, 0.562)

## Properties
Uncorrected energy, eV per formula unit: -18.1
Formation energy from raw total energies, eV per atom: -0.1061
Space-group type: Cmm2 (35)

[4]
This record from Alexandria describes a relaxed ZrCd2Sb crystal. The functional is PBE.

Cell: 4.131 4.151 10.603 Å, 90.00 90.00 90.00°
Positions (direct):
Zr (0.000, 0.000, 0.000)
Zr (0.500, 0.500, 0.500)
Cd (0.000, 0.500, 0.250)
Cd (0.000, 0.500, 0.750)
Cd (0.500, 0.000, 0.250)
Cd (0.500, 0.000, 0.750)
Sb (0.000, 0.000, 0.500)
Sb (0.500, 0.500, 0.000)

## Properties
Uncorrected energy, eV per formula unit: -15.3
Formation energy from raw total energies, eV per atom: -0.2042
Space-group type: Immm (71)

[5]
This record from Alexandria describes a relaxed Zr2CdSb2 crystal. The functional is PBE.

Cell: 7.949 7.949 3.813 Å, 90.00 90.00 90.00°
Positions (direct):
Zr (0.141, 0.359, 0.000)
Zr (0.359, 0.859, 0.000)
Zr (0.641, 0.141, 0.000)
Zr (0.859, 0.641, 0.000)
Cd (0.000, 0.000, 0.000)
Cd (0.500, 0.500, 0.000)
Sb (0.154, 0.654, 0.500)
Sb (0.346, 0.154, 0.500)
Sb (0.654, 0.846, 0.500)
Sb (0.846, 0.346, 0.500)

## Properties
Uncorrected energy, eV per formula unit: -28.5
Formation energy from raw total energies, eV per atom: -0.4460
Space-group type: P4/mbm (127)

[6]
This record from Alexandria describes a relaxed ZrCd4Sb crystal. The functional is PBE.

Cell: 5.813 5.813 5.813 Å, 60.00 60.00 60.00°
Positions (direct):
Zr (0.000, 0.000, 0.000)
Cd (0.123, 0.626, 0.626)
Cd (0.626, 0.123, 0.626)
Cd (0.626, 0.626, 0.123)
Cd (0.626, 0.626, 0.626)
Sb (0.250, 0.250, 0.250)

## Properties
Uncorrected energy, eV per formula unit: -15.4
Formation energy from raw total energies, eV per atom: 0.1623
Space-group type: F-43m (216)

[7]
This record from Alexandria describes a relaxed ZrCdSb2 crystal. The functional is PBE.

Cell: 4.250 4.250 20.967 Å, 90.00 90.00 120.00°
Positions (direct):
Zr (0.000, 0.000, 0.000)
Zr (0.333, 0.667, 0.667)
Zr (0.667, 0.333, 0.333)
Cd (0.000, 0.000, 0.836)
Cd (0.333, 0.667, 0.502)
Cd (0.667, 0.333, 0.169)
Sb (0.000, 0.000, 0.414)
Sb (0.000, 0.000, 0.590)
Sb (0.333, 0.667, 0.081)
Sb (0.333, 0.667, 0.257)
Sb (0.667, 0.333, 0.747)
Sb (0.667, 0.333, 0.924)

## Properties
Uncorrected energy, eV per formula unit: -18.3
Formation energy from raw total energies, eV per atom: -0.1585
Space-group type: R3m (160)

[8]
This record from Alexandria describes a relaxed ZrCdSb2 crystal. The functional is PBE.

Cell: 3.297 3.297 33.339 Å, 90.00 90.00 120.00°
Positions (direct):
Zr (0.000, 0.000, 0.000)
Zr (0.333, 0.667, 0.667)
Zr (0.667, 0.333, 0.333)
Cd (0.000, 0.000, 0.742)
Cd (0.333, 0.667, 0.409)
Cd (0.667, 0.333, 0.075)
Sb (0.000, 0.000, 0.260)
Sb (0.000, 0.000, 0.484)
Sb (0.333, 0.667, 0.151)
Sb (0.333, 0.667, 0.926)
Sb (0.667, 0.333, 0.593)
Sb (0.667, 0.333, 0.818)

## Properties
Uncorrected energy, eV per formula unit: -17.6
Formation energy from raw total energies, eV per atom: 0.0232
Space-group type: R3m (160)

[9]
This record from Alexandria describes a relaxed ZrCd2Sb crystal. The functional is PBE.

Cell: 4.464 4.472 9.584 Å, 90.00 90.00 90.00°
Positions (direct):
Zr (0.000, 0.000, 0.000)
Zr (0.500, 0.500, 0.000)
Cd (0.000, 0.500, 0.230)
Cd (0.000, 0.500, 0.770)
Cd (0.500, 0.000, 0.230)
Cd (0.500, 0.000, 0.770)
Sb (0.000, 0.000, 0.500)
Sb (0.500, 0.500, 0.500)

## Properties
Uncorrected energy, eV per formula unit: -14.4
Formation energy from raw total energies, eV per atom: 0.0174
Space-group type: Cmmm (65)

[10]
This record from Alexandria describes a relaxed ZrCdSb2 crystal. The functional is PBE.

Cell: 10.452 3.301 5.774 Å, 90.00 98.09 90.00°
Positions (direct):
Zr (0.000, 0.000, 0.000)
Zr (0.500, 0.500, 0.000)
Cd (0.000, 0.500, 0.500)
Cd (0.500, 0.000, 0.500)
Sb (0.233, 0.500, 0.221)
Sb (0.267, 0.000, 0.779)
Sb (0.733, 0.000, 0.221)
Sb (0.767, 0.500, 0.779)

## Properties
Uncorrected energy, eV per formula unit: -18.2
Formation energy from raw total energies, eV per atom: -0.1106
Space-group type: C2/m (12)

[11]
This record from Alexandria describes a relaxed Zr2CdSb2 crystal. The functional is PBE.

Cell: 8.022 8.022 3.721 Å, 90.00 90.00 90.00°
Positions (direct):
Zr (0.139, 0.361, 0.000)
Zr (0.361, 0.861, 0.000)
Zr (0.639, 0.139, 0.000)
Zr (0.861, 0.639, 0.000)
Cd (0.000, 0.000, 0.500)
Cd (0.500, 0.500, 0.500)
Sb (0.152, 0.652, 0.500)
Sb (0.348, 0.152, 0.500)
Sb (0.652, 0.848, 0.500)
Sb (0.848, 0.348, 0.500)

## Properties
Uncorrected energy, eV per formula unit: -28.1
Formation energy from raw total energies, eV per atom: -0.3644
Space-group type: P4/mbm (127)

[12]
This record from Alexandria describes a relaxed ZrCdSb3 crystal. The functional is PBE.

Cell: 5.553 5.553 5.553 Å, 90.00 90.00 90.00°
Positions (direct):
Zr (0.000, 0.000, 0.000)
Cd (0.500, 0.500, 0.500)
Sb (0.000, 0.000, 0.500)
Sb (0.000, 0.500, 0.000)
Sb (0.500, 0.000, 0.000)

## Properties
Uncorrected energy, eV per formula unit: -20.7
Formation energy from raw total energies, eV per atom: 0.2301
Space-group type: Pm-3m (221)

- uncorrected energy of number 11 (Zr2CdSb2)?
  -28.1 eV per formula unit